Below is a relaxed Li3Sn2P3O12 crystal, with properties calculated at the PBEsol level.

Geometry as POSCAR:
```
Li3Sn2P3O12
1.0
8.9802 0.0000 0.0000
0.0000 9.0403 0.0000
-0.2221 0.0000 12.1456
Li Sn P O
12 8 12 48
Direct
0.0000 0.0000 0.0000 Li
0.0000 0.0000 0.5000 Li
0.0000 0.0987 0.2500 Li
0.0000 0.9013 0.7500 Li
0.2050 0.2969 0.6135 Li
0.2050 0.7031 0.1135 Li
0.5000 0.3331 0.2500 Li
0.5000 0.5000 0.0000 Li
0.5000 0.5000 0.5000 Li
0.5000 0.6669 0.7500 Li
0.7950 0.2969 0.8865 Li
0.7950 0.7031 0.3865 Li
0.2022 0.4958 0.3613 Sn
0.2022 0.5042 0.8613 Sn
0.3341 0.0125 0.1714 Sn
0.3341 0.9875 0.6714 Sn
0.6659 0.0125 0.3286 Sn
0.6659 0.9875 0.8286 Sn
0.7978 0.4958 0.1387 Sn
0.7978 0.5042 0.6387 Sn
0.0000 0.2180 0.7500 P
0.0000 0.7820 0.2500 P
0.1529 0.3478 0.1092 P
0.1529 0.6522 0.6092 P
0.3014 0.1612 0.4098 P
0.3014 0.8388 0.9098 P
0.5000 0.3537 0.7500 P
0.5000 0.6463 0.2500 P
0.6986 0.1612 0.0902 P
0.6986 0.8388 0.5902 P
0.8471 0.3478 0.3908 P
0.8471 0.6522 0.8908 P
0.0166 0.4530 0.1136 O
0.0166 0.5470 0.6136 O
0.0584 0.1276 0.6531 O
0.0584 0.8724 0.1531 O
0.1166 0.1838 0.1044 O
0.1166 0.8162 0.6044 O
0.1342 0.3193 0.7838 O
0.1342 0.6807 0.2838 O
0.1865 0.1134 0.3232 O
0.1865 0.8866 0.8232 O
0.2495 0.3863 0.2143 O
0.2487 0.3973 0.0097 O
0.2487 0.6027 0.5097 O
0.2495 0.6137 0.7143 O
0.2543 0.3180 0.4587 O
0.2543 0.6820 0.9587 O
0.2958 0.0510 0.5049 O
0.2958 0.9490 0.0049 O
0.3868 0.2639 0.6854 O
0.3868 0.7361 0.1854 O
0.4293 0.4628 0.8389 O
0.4293 0.5372 0.3389 O
0.4582 0.1845 0.3642 O
0.4582 0.8155 0.8642 O
0.5418 0.1845 0.1358 O
0.5418 0.8155 0.6358 O
0.5707 0.4628 0.6611 O
0.5707 0.5372 0.1611 O
0.6132 0.2639 0.8146 O
0.6132 0.7361 0.3146 O
0.7042 0.0510 0.9951 O
0.7042 0.9490 0.4951 O
0.7457 0.3180 0.0413 O
0.7457 0.6820 0.5413 O
0.7505 0.3863 0.2857 O
0.7513 0.3973 0.4903 O
0.7513 0.6027 0.9903 O
0.7505 0.6137 0.7857 O
0.8135 0.1134 0.1768 O
0.8135 0.8866 0.6768 O
0.8658 0.3193 0.7162 O
0.8658 0.6807 0.2162 O
0.8834 0.1838 0.3956 O
0.8834 0.8162 0.8956 O
0.9416 0.1276 0.8469 O
0.9416 0.8724 0.3469 O
0.9834 0.4530 0.3864 O
0.9834 0.5470 0.8864 O
```

Output
As for the offset from the most stable computed form: 40 meV/atom. Its space group is P2/c. As for the crystal system: monoclinic.